First-principles (GGA-PBE) data for InNF3 after structural relaxation, as listed in the Alexandria database.

Summary:
The uncorrected formation energy is -0.937 eV/atom. Its polymorph energy (0 for the lowest one) is 0.0 meV/atom. The calculation puts the final energy at -21.4 eV for the cell shown.

Cell and atoms, written as extended XYZ:
```
5
Lattice="4.2226 0.0000 0.0000 0.0000 4.2226 0.0000 0.0000 0.0000 4.2226" Properties=species:S:1:pos:R:3 pbc="T T T"
In 0.0000 0.0000 0.0000
N 2.1113 2.1113 2.1113
F 0.0000 0.0000 2.1113
F 0.0000 2.1113 0.0000
F 2.1113 0.0000 0.0000
```

First-principles (GGA-PBE) data for BaZn2PRu after structural relaxation, as listed in the Alexandria database.

Summary:
The calculation puts the final energy at -21.0 eV for the cell shown.

Cell and atoms, written as extended XYZ:
```
5
Lattice="4.9398 0.0000 0.0000 0.0000 4.9398 0.0000 0.0000 0.0000 4.5464" Properties=species:S:1:pos:R:3 pbc="T T T"
Ba 0.0000 0.0000 0.0000
Zn 0.0000 2.4699 2.2732
Zn 2.4699 0.0000 2.2732
P 2.4699 2.4699 0.0000
Ru 2.4699 2.4699 2.2732
```

First-principles (GGA-PBE) data for Hf2CuPb after structural relaxation, as listed in the Alexandria database.

Summary:
The calculation puts the final energy at -27.6 eV for the cell shown.

Cell and atoms, written as extended XYZ:
```
4
Lattice="3.1690 0.0000 0.0000 0.0000 3.1690 0.0000 0.0000 0.0000 8.1621" Properties=species:S:1:pos:R:3 pbc="T T T"
Hf 0.0000 0.0000 1.6857
Hf 0.0000 0.0000 6.4764
Cu 1.5845 1.5845 0.0000
Pb 1.5845 1.5845 4.0810
```

First-principles (GGA-PBE) data for RbYOF2 after structural relaxation, as listed in the Alexandria database.

Summary:
The uncorrected formation energy is -3.263 eV/atom. Its polymorph energy (0 for the lowest one) is 0.0 meV/atom. The calculation puts the final energy at -32.4 eV for the cell shown.

Cell and atoms, written as extended XYZ:
```
5
Lattice="4.5593 0.0000 0.0000 0.0000 4.5593 0.0000 0.0000 0.0000 4.3690" Properties=species:S:1:pos:R:3 pbc="T T T"
Rb 0.0000 0.0000 0.0000
Y 2.2797 2.2797 2.1845
O 2.2797 2.2797 0.0000
F 0.0000 2.2797 2.1845
F 2.2797 0.0000 2.1845
```

First-principles (GGA-PBE) data for Tc2MoIr after structural relaxation, as listed in the Alexandria database.

Summary:
Its polymorph energy (0 for the lowest one) is 135.4 meV/atom. The calculation puts the final energy at -121.3 eV for the cell shown.

Cell and atoms, written as extended XYZ:
```
12
Lattice="2.7570 0.0000 0.0000 -1.3785 2.3876 0.0000 0.0000 0.0000 27.1759" Properties=species:S:1:pos:R:3 pbc="T T T"
Tc 0.0000 0.0000 0.0000
Tc 0.0000 0.0000 6.9126
Tc 0.0000 1.5917 18.1173
Tc 0.0000 1.5917 25.0299
Tc 1.3785 0.7959 9.0586
Tc 1.3785 0.7959 15.9712
Mo 0.0000 0.0000 20.5085
Mo 0.0000 1.5917 11.4498
Mo 1.3785 0.7959 2.3912
Ir 0.0000 0.0000 13.6609
Ir 0.0000 1.5917 4.6023
Ir 1.3785 0.7959 22.7196
```

First-principles (GGA-PBE) data for Cs2HoBiSe4 after structural relaxation, as listed in the Alexandria database.

Summary:
The uncorrected formation energy is -1.178 eV/atom. The calculation puts the final energy at -67.1 eV for the cell shown.

Cell and atoms, written as extended XYZ:
```
16
Lattice="-4.4859 4.6547 6.4639 4.4859 -4.6547 6.4639 4.4859 4.6547 -6.4639" Properties=species:S:1:pos:R:3 pbc="T T T"
Cs 0.0000 0.0000 0.0000
Cs -2.2429 2.3274 3.2319
Cs 0.0000 4.6547 0.0000
Cs 2.2429 2.3274 3.2319
Ho 2.2429 2.3274 -3.2319
Ho 2.2429 -2.3274 3.2319
Bi 4.4859 0.0000 0.0000
Bi 0.0000 0.0000 6.4639
Se 4.4859 -0.4245 3.0172
Se 4.4859 4.2302 -3.0172
Se 2.5434 2.3274 -0.3067
Se 6.4283 2.3274 -0.3067
Se -1.9424 2.3274 6.7706
Se 1.9424 2.3274 6.7706
Se 0.0000 0.4245 9.4811
Se 0.0000 5.0793 3.4467
```

First-principles (GGA-PBE) data for Pa3Al2Pt7 after structural relaxation, as listed in the Alexandria database.

Summary:
The calculation puts the final energy at -88.6 eV for the cell shown.

Cell and atoms, written as extended XYZ:
```
12
Lattice="-2.0214 2.0214 14.1825 2.0214 -2.0214 14.1825 2.0214 2.0214 -14.1825" Properties=species:S:1:pos:R:3 pbc="T T T"
Pa 0.0000 0.0000 0.0000
Pa 0.0000 0.0000 5.1235
Pa 0.0000 0.0000 23.2415
Al 0.0000 0.0000 10.5633
Al 0.0000 0.0000 17.8017
Pt 2.0214 0.0000 2.1913
Pt 0.0000 0.0000 8.0698
Pt 2.0214 0.0000 11.9912
Pt 0.0000 0.0000 14.1825
Pt 0.0000 2.0214 2.1913
Pt 0.0000 0.0000 20.2953
Pt 0.0000 2.0214 11.9912
```

First-principles (GGA-PBE) data for YAgTe2 after structural relaxation, as listed in the Alexandria database.

Summary:
The uncorrected formation energy is -0.847 eV/atom. The calculation puts the final energy at -57.0 eV for the cell shown.

Cell and atoms, written as extended XYZ:
```
12
Lattice="4.4058 0.0000 0.0000 -2.2029 3.8155 0.0000 0.0000 0.0000 21.0466" Properties=species:S:1:pos:R:3 pbc="T T T"
Y 0.0000 0.0000 0.0000
Y 0.0000 2.5437 14.0311
Y 2.2029 1.2718 7.0155
Ag 0.0000 0.0000 10.5233
Ag 0.0000 2.5437 3.5078
Ag 2.2029 1.2718 17.5388
Te 0.0000 0.0000 5.2313
Te 0.0000 0.0000 15.8153
Te 0.0000 2.5437 8.7998
Te 0.0000 2.5437 19.2623
Te 2.2029 1.2718 1.7843
Te 2.2029 1.2718 12.2468
```

Q: Among the records above, which one has the lowest final energy?
A: Tc2MoIr

Q: Number 3 is which compound?
A: Hf2CuPb

Q: What is the formula in the eighth record?
A: YAgTe2